# 1
4
Lattice="0.000 3.758 3.758 3.758 0.000 3.758 3.758 3.758 0.000" Properties=species:S:1:pos:R:3 comment="PBE-GGA PrDyZnIn, optimized geometry" dos_ef_per_ev_cell=4.2 e_above_lowest_polymorph_ev_per_fu=0.107 total_energy_ev_per_atom=-3.73 magnetic_moment_mub_per_cell=0.0 pbc="T T T"
Pr 0.000 0.000 0.000
Dy 3.758 3.758 3.758
Zn 1.879 1.879 1.879
In 5.637 5.637 5.637

***

# 2
10
Lattice="7.633 0.000 0.000 0.000 7.633 0.000 0.000 0.000 3.902" Properties=species:S:1:pos:R:3 comment="PBE-GGA Sm2DyNi2, optimized geometry" dos_ef_per_ev_cell=8.8 total_energy_ev_per_atom=-5.39 magnetic_moment_mub_per_cell=0.0 pbc="T T T"
Sm 1.274 2.542 0.000
Sm 2.542 6.358 0.000
Sm 5.091 1.274 0.000
Sm 6.358 5.091 0.000
Dy 0.000 0.000 1.951
Dy 3.816 3.816 1.951
Ni 0.926 4.742 1.951
Ni 2.890 0.926 1.951
Ni 4.742 6.707 1.951
Ni 6.707 2.890 1.951

***

# 3
5
Lattice="6.104 0.000 0.000 0.000 6.104 0.000 0.000 0.000 6.104" Properties=species:S:1:pos:R:3 comment="PBE-GGA AlSbI3, optimized geometry" dos_ef_per_ev_cell=2.0 e_above_lowest_polymorph_ev_per_fu=0.000 raw_formation_energy_mev_per_atom=117 total_energy_ev_per_atom=-2.39 magnetic_moment_mub_per_cell=0.0 pbc="T T T"
Al 0.000 0.000 0.000
Sb 3.052 3.052 3.052
I 0.000 3.052 3.052
I 3.052 0.000 3.052
I 3.052 3.052 0.000